[1]
K2PtW: optimized geometry, PBE.

## Properties
E_form: 1.44 eV per atom
offset from the most stable computed form: 914 meV per atom
Fermi-level density of states: 2.9 states/eV per cell
calculated density: 8.51 Mg/m³
spin magnetization: 0.0 μB per cell

Cell: 5.016 5.016 5.016 Å, 60.00 60.00 60.00°
Fractional coordinates of all 4 atoms:
1 K 0.000 0.000 0.000
2 K 0.250 0.250 0.250
3 Pt 0.750 0.750 0.750
4 W 0.500 0.500 0.500

---

[2]
AlFe2Hg: optimized geometry, PBE.

## Properties
E_form: 0.49 eV per atom
Fermi-level density of states: 4.7 states/eV per cell
calculated density: 8.57 Mg/m³
spin magnetization: 9.6 μB per cell

Cell: 9.530 9.530 9.530 Å, 157.05 157.05 32.68°
Fractional coordinates of all 8 atoms:
1 Al 0.000 0.000 0.000
2 Al 0.750 0.250 0.500
3 Fe 0.087 0.625 0.962
4 Fe 0.375 0.337 0.462
5 Fe 0.663 0.125 0.038
6 Fe 0.875 0.913 0.538
7 Hg 0.250 0.750 0.500
8 Hg 0.500 0.500 0.000

---

[3]
ZnCo2W: optimized geometry, PBE.

## Properties
E_form: 0.31 eV per atom
Fermi-level density of states: 5.7 states/eV per cell
calculated density: 11.96 Mg/m³
spin magnetization: 1.8 μB per cell

Cell: 4.162 4.162 4.162 Å, 60.00 60.00 60.00°
Fractional coordinates of all 4 atoms:
1 Zn 0.000 0.000 0.000
2 Co 0.250 0.250 0.250
3 Co 0.500 0.500 0.500
4 W 0.750 0.750 0.750

---

[4]
KCaIn2: optimized geometry, PBE.

## Properties
E_form: -0.08 eV per atom
offset from the most stable computed form: 132 meV per atom
Fermi-level density of states: 2.3 states/eV per cell
calculated density: 4.12 Mg/m³
spin magnetization: 0.0 μB per cell

Cell: 5.856 5.856 5.856 Å, 126.85 126.85 78.49°
Fractional coordinates of all 4 atoms:
1 K 0.000 0.000 0.000
2 Ca 0.250 0.750 0.500
3 In 0.500 0.500 0.000
4 In 0.750 0.250 0.500